12
Lattice="4.2733 0.0000 0.0000 0.0000 8.5223 0.3086 -2.1366 -2.4557 8.9794" Properties=species:S:1:pos:R:3 comment="Tb6BiSb2Se3 (PBE, relaxed)" sg="No. 12" e_form_raw_ev_per_atom=-1.41 pbc="T T T"
Tb 0.0000 6.2433 6.1768
Tb 2.1366 4.2077 3.1364
Tb 2.1366 -0.1767 3.1112
Tb 2.1366 -0.1996 9.0156
Tb 0.0000 6.2662 0.2724
Tb 0.0000 1.8589 6.1516
Bi 2.1366 0.0000 0.0000
Sb 2.1366 4.0526 6.1949
Sb 0.0000 2.0140 3.0931
Se 2.1366 4.2612 0.1543
Se 2.1366 -0.2126 6.0521
Se 0.0000 6.2792 3.2359


80
Lattice="10.8018 0.0000 0.0000 -3.6006 10.1841 0.0000 -3.6006 -5.0920 8.8197" Properties=species:S:1:pos:R:3 comment="Li3Dy5H12 (PBE, relaxed)" sg="No. 230" final_energy_ev_per_atom=-3.888 pbc="T T T"
H 2.4019 -3.0468 8.3239
H 1.1987 3.1393 2.3907
H -2.0311 1.2683 3.5761
H 3.8315 0.0832 1.5234
H 0.0725 2.7412 5.7394
H -2.5602 6.6559 1.3295
H -1.5695 6.2771 5.0995
H 1.5695 -0.0832 1.5234
H 5.3284 -2.7412 5.7394
H 4.3605 3.5281 1.3295
H 6.5996 3.9980 2.8864
H 2.9990 3.0468 8.3239
H -1.8728 3.7950 3.9141
H -0.7599 -1.9333 8.1300
H 6.0025 6.1861 2.8864
H 2.9990 -1.9527 6.4290
H 9.0741 1.0538 0.8338
H 2.8407 5.4615 2.0191
H 7.4321 -1.2683 3.5761
H -1.0404 4.7226 2.0191
H 0.0725 -4.0382 7.9859
H 3.3698 3.9069 5.0995
H 3.6732 6.3891 3.9141
H 8.2416 3.1587 0.6896
H 0.2308 1.1851 3.7202
H -0.0725 -1.2970 4.9056
H -4.6410 1.9334 8.1300
H -3.8314 6.3604 5.2436
H 3.5281 9.1303 0.8338
H 4.6410 0.3694 6.8005
H 0.7599 -0.3694 6.8005
H 0.6016 7.0447 2.3907
H -5.4734 4.0382 7.9859
H -2.4019 -1.0940 5.9332
H 5.4735 1.2970 4.9056
H 0.6016 2.0453 0.4957
H 4.3605 7.0254 0.6896
H -1.7278 7.8332 3.0803
H -0.7599 1.5639 7.4901
H -2.9990 1.0940 5.9332
H 2.0311 5.1753 7.2963
H 5.1701 -1.1851 3.7202
H -0.2308 5.0088 7.2963
H 6.1608 -1.5639 7.4901
H 3.5281 2.3509 3.0803
H 5.6318 3.8237 5.2436
H 2.4019 1.9527 6.4290
H 1.1987 8.1388 0.4957
Li 6.3011 3.1825 1.1025
Li 6.3011 7.0016 1.1025
Li -0.9002 4.4555 5.5123
Li 0.9002 -0.6365 3.3074
Li 8.1014 0.0000 2.2049
Li 0.9002 5.0920 2.2049
Li 2.7005 0.0000 6.6148
Li -4.5008 5.0920 6.6148
Li 2.7005 5.7285 5.5123
Li 4.5008 0.6365 3.3074
Li -2.7005 -1.9095 7.7172
Li -2.7005 1.9095 7.7172
Dy -0.9002 2.5460 2.2049
Dy -1.8003 5.0920 0.0000
Dy 0.0000 0.0000 0.0000
Dy 2.7005 1.9095 1.1025
Dy 3.6006 -2.5460 4.4098
Dy 3.6006 5.0920 0.0000
Dy -2.7005 5.7285 3.3074
Dy 4.5008 -3.1825 7.7172
Dy 4.5008 4.4555 3.3074
Dy 0.9002 -2.5460 6.6148
Dy 2.7005 7.6381 2.2049
Dy 1.8003 2.5460 4.4098
Dy 5.4009 0.0000 0.0000
Dy -1.8003 -2.5460 4.4098
Dy -0.9002 0.6365 5.5123
Dy -0.9002 8.2746 1.1025
Dy -3.6006 2.5460 4.4098
Dy 6.3011 -0.6365 5.5123
Dy 0.9002 3.1825 7.7172
Dy 4.5008 2.5460 6.6148


5
Lattice="6.1025 0.0000 0.0000 0.0000 6.1025 0.0000 0.0000 0.0000 6.1025" Properties=species:S:1:pos:R:3 comment="BaAc3Pt (PBE, relaxed)" sg="No. 221" e_form_ev_per_atom=-0.400 pbc="T T T"
Ac 0.0000 3.0513 0.0000
Ac 0.0000 0.0000 3.0513
Ac 3.0513 0.0000 0.0000
Ba 3.0513 3.0513 3.0513
Pt 0.0000 0.0000 0.0000


4
Lattice="3.6465 0.0000 0.0000 1.8232 3.1579 0.0000 1.8232 1.0526 12.9218" Properties=species:S:1:pos:R:3 comment="AcCePr2 (PBE, relaxed)" sg="No. 166" polymorph_energy_mev_per_atom=155 e_form_ev_per_atom=0.252 pbc="T T T"
Pr 1.8232 1.0527 9.5644
Pr 5.4697 3.1579 3.3574
Ac 3.6465 2.1053 6.4609
Ce 0.0000 0.0000 0.0000


4
Lattice="4.5911 0.0000 0.0000 0.0000 4.9750 0.0000 0.0000 0.0000 4.7532" Properties=species:S:1:pos:R:3 comment="TbTlInPb (PBE, relaxed)" sg="No. 47" polymorph_energy_mev_per_atom=0 e_form_ev_per_atom=-0.311 pbc="T T T"
Tb 0.0000 2.4875 2.3766
Tl 2.2955 0.0000 2.3766
In 0.0000 0.0000 0.0000
Pb 2.2955 2.4875 0.0000


3
Lattice="-3.1540 1.3412 -1.8136 -2.0529 -3.5890 0.9159 -0.1530 3.2712 2.6851" Properties=species:S:1:pos:R:3 comment="CeSiIr (PBE, relaxed)" sg="No. 187" e_form_raw_ev_per_atom=-0.91 pbc="T T T"
Si -0.5255 0.2235 -0.3022
Ir -1.3119 1.2080 1.7931
Ce -3.5224 -0.4080 0.2964


8
Lattice="7.2362 0.0000 0.0000 0.0000 6.4698 -0.9809 -3.6181 -2.5571 5.2645" Properties=species:S:1:pos:R:3 comment="Sm2ThTc (PBE, relaxed)" sg="No. 15" polymorph_energy_mev_per_atom=173 e_form_ev_per_atom=0.066 pbc="T T T"
Sm 0.3424 3.2570 2.5300
Sm 3.2758 0.6556 1.7536
Sm -0.3424 0.0221 3.0205
Sm 3.9605 3.8905 1.2632
Th 6.2498 1.6174 -0.2452
Th 0.9864 4.8523 -0.7357
Tc 5.7551 4.8523 -0.7357
Tc 1.4811 1.6174 -0.2452


5
Lattice="-2.6282 0.1672 -3.6665 2.5129 -3.2049 -1.9474 -3.1171 -3.6993 2.0657" Properties=species:S:1:pos:R:3 comment="FeHSe2Br (PBE, relaxed)" sg="No. 123" polymorph_energy_mev_per_atom=168 pbc="T T T"
H -1.6162 -3.3685 -1.7741
Se 1.2564 -1.6024 -0.9737
Se -1.3141 0.0836 -1.8332
Br -1.5585 -1.8496 1.0329
Fe 0.0000 0.0000 0.0000


Please write out number 4 again, unchanged.
4
Lattice="3.6465 0.0000 0.0000 1.8232 3.1579 0.0000 1.8232 1.0526 12.9218" Properties=species:S:1:pos:R:3 comment="AcCePr2 (PBE, relaxed)" sg="No. 166" polymorph_energy_mev_per_atom=155 e_form_ev_per_atom=0.252 pbc="T T T"
Pr 1.8232 1.0527 9.5644
Pr 5.4697 3.1579 3.3574
Ac 3.6465 2.1053 6.4609
Ce 0.0000 0.0000 0.0000


> What is the formula in the seventh record?

Sm2ThTc